The following is a DFT calculation (PBE+U) of a geometry-optimized K4Pa3FeO12 structure.

The total energy comes out at -0.548 Ry per atom.

The structure belongs to space group Im-3m (No. 229); the cell edges are 8.5750, 8.5750 and 8.5750 Å and the angles 90.00°, 90.00° and 90.00°. The distinct sites, in fractional coordinates, are K at (0.2500, 0.2500, 0.2500), Pa at (0.0000, 0.0000, 0.5000), Fe at (0.0000, 0.0000, 0.0000), O at (0.0000, 0.0000, 0.2443) and O at (0.0000, 0.2500, 0.5000).